Density functional theory data (GGA-PBE) for a relaxed structure of LaPmTcN4.

Output
SG = I4mm
uncorrected formation energy = -0.8069 eV/atom
DOS(E_F) = 0.484 states/eV/atom

Geometry as CIF:
```
data_LaPmTcN4
_chemical_formula_sum 'La2 Pm2 Tc2 N8'
_space_group_name_H-M_alt 'P 1'
_space_group_IT_number 1
_cell_length_a 3.8917
_cell_length_b 3.8917
_cell_length_c 12.7399
_cell_angle_alpha 90.00
_cell_angle_beta 90.00
_cell_angle_gamma 90.00
loop_
_space_group_symop_operation_xyz
'x,y,z'
loop_
_atom_site_label
_atom_site_fract_x
_atom_site_fract_y
_atom_site_fract_z
La1 0.0000 0.0000 0.0000
La2 0.5000 0.5000 0.5000
Pm1 0.0000 0.0000 0.7069
Pm2 0.5000 0.5000 0.2069
Tc1 0.0000 0.0000 0.3529
Tc2 0.5000 0.5000 0.8529
N1 0.0000 0.0000 0.1858
N2 0.0000 0.0000 0.5212
N3 0.0000 0.5000 0.3515
N4 0.0000 0.5000 0.8515
N5 0.5000 0.0000 0.3515
N6 0.5000 0.0000 0.8515
N7 0.5000 0.5000 0.0212
N8 0.5000 0.5000 0.6858
```

=====

Density functional theory data (GGA-PBE) for a relaxed structure of La2PmThN4.

Output
SG = P2/m
uncorrected formation energy = -1.4624 eV/atom
DOS(E_F) = 0.277 states/eV/atom

Geometry as CIF:
```
data_La2PmThN4
_chemical_formula_sum 'La2 Pm1 Th1 N4'
_space_group_name_H-M_alt 'P 1'
_space_group_IT_number 1
_cell_length_a 6.3710
_cell_length_b 3.6928
_cell_length_c 6.4096
_cell_angle_alpha 90.00
_cell_angle_beta 109.28
_cell_angle_gamma 90.00
loop_
_space_group_symop_operation_xyz
'x,y,z'
loop_
_atom_site_label
_atom_site_fract_x
_atom_site_fract_y
_atom_site_fract_z
La1 0.0000 0.0000 0.0000
La2 0.5000 0.5000 0.0000
Pm1 0.0000 0.5000 0.5000
Th1 0.5000 0.0000 0.5000
N1 0.2526 0.0000 0.7376
N2 0.2613 0.5000 0.2672
N3 0.7387 0.5000 0.7328
N4 0.7474 0.0000 0.2624
```

=====

Density functional theory data (GGA-PBE) for a relaxed structure of La4PmTh3N8.

Output
SG = R-3m
uncorrected formation energy = -1.4931 eV/atom
DOS(E_F) = 0.174 states/eV/atom

Geometry as CIF:
```
data_La4PmTh3N8
_chemical_formula_sum 'La4 Pm1 Th3 N8'
_space_group_name_H-M_alt 'P 1'
_space_group_IT_number 1
_cell_length_a 7.4053
_cell_length_b 7.4053
_cell_length_c 7.4053
_cell_angle_alpha 59.82
_cell_angle_beta 59.82
_cell_angle_gamma 59.82
loop_
_space_group_symop_operation_xyz
'x,y,z'
loop_
_atom_site_label
_atom_site_fract_x
_atom_site_fract_y
_atom_site_fract_z
La1 0.0000 0.0000 0.0000
La2 0.0000 0.5000 0.5000
La3 0.5000 0.0000 0.5000
La4 0.5000 0.5000 0.0000
Pm1 0.5000 0.5000 0.5000
Th1 0.0000 0.0000 0.5000
Th2 0.0000 0.5000 0.0000
Th3 0.5000 0.0000 0.0000
N1 0.2377 0.7471 0.7471
N2 0.2428 0.2428 0.2428
N3 0.2529 0.2529 0.7623
N4 0.2529 0.7623 0.2529
N5 0.7471 0.2377 0.7471
N6 0.7471 0.7471 0.2377
N7 0.7572 0.7572 0.7572
N8 0.7623 0.2529 0.2529
```

=====

Density functional theory data (GGA-PBE) for a relaxed structure of LaPmTh2N4.

Output
SG = P2/m
uncorrected formation energy = -1.5193 eV/atom
DOS(E_F) = 0.420 states/eV/atom

Geometry as CIF:
```
data_LaPmTh2N4
_chemical_formula_sum 'La1 Pm1 Th2 N4'
_space_group_name_H-M_alt 'P 1'
_space_group_IT_number 1
_cell_length_a 6.3494
_cell_length_b 3.6804
_cell_length_c 6.3698
_cell_angle_alpha 90.00
_cell_angle_beta 109.52
_cell_angle_gamma 90.00
loop_
_space_group_symop_operation_xyz
'x,y,z'
loop_
_atom_site_label
_atom_site_fract_x
_atom_site_fract_y
_atom_site_fract_z
La1 0.0000 0.0000 0.0000
Pm1 0.0000 0.5000 0.5000
Th1 0.5000 0.0000 0.5000
Th2 0.5000 0.5000 0.0000
N1 0.2659 0.0000 0.7522
N2 0.2698 0.5000 0.2595
N3 0.7302 0.5000 0.7405
N4 0.7341 0.0000 0.2478
```

=====

Density functional theory data (GGA-PBE) for a relaxed structure of LaPm2Th3N6.

Output
SG = C2/m
uncorrected formation energy = -1.5276 eV/atom
DOS(E_F) = 0.359 states/eV/atom

Geometry as CIF:
```
data_LaPm2Th3N6
_chemical_formula_sum 'La1 Pm2 Th3 N6'
_space_group_name_H-M_alt 'P 1'
_space_group_IT_number 1
_cell_length_a 6.3549
_cell_length_b 6.3549
_cell_length_c 6.3263
_cell_angle_alpha 99.65
_cell_angle_beta 99.65
_cell_angle_gamma 119.95
loop_
_space_group_symop_operation_xyz
'x,y,z'
loop_
_atom_site_label
_atom_site_fract_x
_atom_site_fract_y
_atom_site_fract_z
La1 0.0000 0.0000 0.0000
Pm1 0.3335 0.6665 0.0000
Pm2 0.6665 0.3335 0.0000
Th1 0.1669 0.8331 0.5000
Th2 0.5000 0.5000 0.5000
Th3 0.8331 0.1669 0.5000
N1 0.0886 0.4275 0.2662
N2 0.2509 0.2509 0.7358
N3 0.4275 0.0886 0.2662
N4 0.5725 0.9114 0.7338
N5 0.7491 0.7491 0.2642
N6 0.9114 0.5725 0.7338
```

=====

Density functional theory data (GGA-PBE) for a relaxed structure of LaPm2TiN4.

Output
SG = Cmcm
uncorrected formation energy = -1.3600 eV/atom
DOS(E_F) = 0.369 states/eV/atom

Geometry as CIF:
```
data_LaPm2TiN4
_chemical_formula_sum 'La2 Pm4 Ti2 N8'
_space_group_name_H-M_alt 'P 1'
_space_group_IT_number 1
_cell_length_a 6.3062
_cell_length_b 6.3062
_cell_length_c 12.2573
_cell_angle_alpha 90.00
_cell_angle_beta 90.00
_cell_angle_gamma 147.70
loop_
_space_group_symop_operation_xyz
'x,y,z'
loop_
_atom_site_label
_atom_site_fract_x
_atom_site_fract_y
_atom_site_fract_z
La1 0.0977 0.9023 0.7500
La2 0.9023 0.0977 0.2500
Pm1 0.3696 0.6304 0.5399
Pm2 0.3696 0.6304 0.9601
Pm3 0.6304 0.3696 0.0399
Pm4 0.6304 0.3696 0.4601
Ti1 0.1683 0.8317 0.2500
Ti2 0.8317 0.1683 0.7500
N1 0.0000 0.0000 0.0000
N2 0.0000 0.0000 0.5000
N3 0.2659 0.7341 0.1303
N4 0.2659 0.7341 0.3697
N5 0.4230 0.5770 0.7500
N6 0.5770 0.4230 0.2500
N7 0.7341 0.2659 0.6303
N8 0.7341 0.2659 0.8697
```

=====

Density functional theory data (GGA-PBE) for a relaxed structure of La2PmTlN.

Output
SG = P4/mmm
uncorrected formation energy = -0.8366 eV/atom
DOS(E_F) = 0.551 states/eV/atom

Geometry as CIF:
```
data_La2PmTlN
_chemical_formula_sum 'La2 Pm1 Tl1 N1'
_space_group_name_H-M_alt 'P 1'
_space_group_IT_number 1
_cell_length_a 5.1141
_cell_length_b 5.1141
_cell_length_c 5.0526
_cell_angle_alpha 90.00
_cell_angle_beta 90.00
_cell_angle_gamma 90.00
loop_
_space_group_symop_operation_xyz
'x,y,z'
loop_
_atom_site_label
_atom_site_fract_x
_atom_site_fract_y
_atom_site_fract_z
La1 0.0000 0.5000 0.0000
La2 0.5000 0.0000 0.0000
Pm1 0.0000 0.0000 0.5000
Tl1 0.5000 0.5000 0.5000
N1 0.0000 0.0000 0.0000
```

=====

Density functional theory data (GGA-PBE) for a relaxed structure of LaPmUN3.

Output
SG = P2_1/m
uncorrected formation energy = -0.6690 eV/atom
DOS(E_F) = 0.906 states/eV/atom

Geometry as CIF:
```
data_LaPmUN3
_chemical_formula_sum 'La2 Pm2 U2 N6'
_space_group_name_H-M_alt 'P 1'
_space_group_IT_number 1
_cell_length_a 6.5768
_cell_length_b 3.7998
_cell_length_c 9.9085
_cell_angle_alpha 90.00
_cell_angle_beta 105.87
_cell_angle_gamma 90.00
loop_
_space_group_symop_operation_xyz
'x,y,z'
loop_
_atom_site_label
_atom_site_fract_x
_atom_site_fract_y
_atom_site_fract_z
La1 0.1856 0.2500 0.1403
La2 0.8144 0.7500 0.8597
Pm1 0.2771 0.2500 0.7914
Pm2 0.7229 0.7500 0.2086
U1 0.3602 0.7500 0.4615
U2 0.6398 0.2500 0.5385
N1 0.1099 0.7500 0.2981
N2 0.2185 0.7500 0.9540
N3 0.3841 0.7500 0.0721
N4 0.6159 0.2500 0.9279
N5 0.7815 0.2500 0.0460
N6 0.8901 0.2500 0.7019
```

=====

Density functional theory data (GGA-PBE) for a relaxed structure of La3Pm4UN8.

Output
SG = R-3m
uncorrected formation energy = -1.3893 eV/atom
DOS(E_F) = 0.572 states/eV/atom

Geometry as CIF:
```
data_La3Pm4UN8
_chemical_formula_sum 'La3 Pm4 U1 N8'
_space_group_name_H-M_alt 'P 1'
_space_group_IT_number 1
_cell_length_a 7.2461
_cell_length_b 7.2461
_cell_length_c 7.2461
_cell_angle_alpha 60.34
_cell_angle_beta 60.34
_cell_angle_gamma 60.34
loop_
_space_group_symop_operation_xyz
'x,y,z'
loop_
_atom_site_label
_atom_site_fract_x
_atom_site_fract_y
_atom_site_fract_z
La1 0.0000 0.5000 0.5000
La2 0.5000 0.0000 0.5000
La3 0.5000 0.5000 0.0000
Pm1 0.0000 0.0000 0.5000
Pm2 0.0000 0.5000 0.0000
Pm3 0.5000 0.0000 0.0000
Pm4 0.5000 0.5000 0.5000
U1 0.0000 0.0000 0.0000
N1 0.2215 0.7729 0.7729
N2 0.2271 0.2271 0.7785
N3 0.2271 0.7785 0.2271
N4 0.2477 0.2477 0.2477
N5 0.7523 0.7523 0.7523
N6 0.7729 0.2215 0.7729
N7 0.7729 0.7729 0.2215
N8 0.7785 0.2271 0.2271
```

=====

Density functional theory data (GGA-PBE) for a relaxed structure of LaPm2UN4.

Output
SG = P2/m
uncorrected formation energy = -1.4134 eV/atom
DOS(E_F) = 0.650 states/eV/atom

Geometry as CIF:
```
data_LaPm2UN4
_chemical_formula_sum 'La1 Pm2 U1 N4'
_space_group_name_H-M_alt 'P 1'
_space_group_IT_number 1
_cell_length_a 6.1612
_cell_length_b 3.5874
_cell_length_c 6.2630
_cell_angle_alpha 90.00
_cell_angle_beta 109.23
_cell_angle_gamma 90.00
loop_
_space_group_symop_operation_xyz
'x,y,z'
loop_
_atom_site_label
_atom_site_fract_x
_atom_site_fract_y
_atom_site_fract_z
La1 0.0000 0.0000 0.0000
Pm1 0.5000 0.0000 0.5000
Pm2 0.5000 0.5000 0.0000
U1 0.0000 0.5000 0.5000
N1 0.2211 0.0000 0.7152
N2 0.2264 0.5000 0.2861
N3 0.7736 0.5000 0.7139
N4 0.7789 0.0000 0.2848
```

=====

Density functional theory data (GGA-PBE) for a relaxed structure of LaPmWN4.

Output
SG = I4mm
uncorrected formation energy = -1.0971 eV/atom
DOS(E_F) = 0.257 states/eV/atom

Geometry as CIF:
```
data_LaPmWN4
_chemical_formula_sum 'La2 Pm2 W2 N8'
_space_group_name_H-M_alt 'P 1'
_space_group_IT_number 1
_cell_length_a 3.9799
_cell_length_b 3.9799
_cell_length_c 12.6028
_cell_angle_alpha 90.00
_cell_angle_beta 90.00
_cell_angle_gamma 90.00
loop_
_space_group_symop_operation_xyz
'x,y,z'
loop_
_atom_site_label
_atom_site_fract_x
_atom_site_fract_y
_atom_site_fract_z
La1 0.0000 0.0000 0.0000
La2 0.5000 0.5000 0.5000
Pm1 0.0000 0.0000 0.7093
Pm2 0.5000 0.5000 0.2093
W1 0.0000 0.0000 0.3528
W2 0.5000 0.5000 0.8528
N1 0.0000 0.0000 0.1890
N2 0.0000 0.0000 0.5195
N3 0.0000 0.5000 0.3518
N4 0.0000 0.5000 0.8518
N5 0.5000 0.0000 0.3518
N6 0.5000 0.0000 0.8518
N7 0.5000 0.5000 0.0195
N8 0.5000 0.5000 0.6890
```

=====

Density functional theory data (GGA-PBE) for a relaxed structure of LaPm2ZnN.

Output
SG = P4/mmm
uncorrected formation energy = -0.6528 eV/atom
DOS(E_F) = 0.988 states/eV/atom

Geometry as CIF:
```
data_LaPm2ZnN
_chemical_formula_sum 'La1 Pm2 Zn1 N1'
_space_group_name_H-M_alt 'P 1'
_space_group_IT_number 1
_cell_length_a 4.9607
_cell_length_b 4.9607
_cell_length_c 5.0583
_cell_angle_alpha 90.00
_cell_angle_beta 90.00
_cell_angle_gamma 90.00
loop_
_space_group_symop_operation_xyz
'x,y,z'
loop_
_atom_site_label
_atom_site_fract_x
_atom_site_fract_y
_atom_site_fract_z
La1 0.0000 0.0000 0.0000
Pm1 0.0000 0.5000 0.5000
Pm2 0.5000 0.0000 0.5000
Zn1 0.5000 0.5000 0.0000
N1 0.0000 0.0000 0.5000
```